Entry 1:
First-principles (PBE) data for crystalline Rb5Ga4Sn2 at its relaxed geometry, as listed in the Alexandria database.

```
11
Lattice="6.5185 -3.6307 0.0000 6.5185 3.6307 0.0000 -3.3234 0.0000 8.2422" Properties=species:S:1:pos:R:3 pbc="T T T"
Rb 0.0000 0.0000 0.0000
Rb 3.2106 1.7567 5.1003
Rb 6.5030 1.7567 3.1418
Rb 3.2106 -1.7567 5.1003
Rb 6.5030 -1.7567 3.1418
Ga 3.2018 0.0000 1.6507
Ga 5.2354 0.0000 0.1388
Ga 4.4782 0.0000 8.1033
Ga 6.5118 0.0000 6.5914
Sn -0.0314 0.0000 6.5389
Sn 9.7450 0.0000 1.7033
```

Properties
DFT formation energy = 51.2 meV per atom
calculated total energy = -2.2170 eV/atom
DOS(E_F) = 0.386 states/eV per atom
space group = C2/m

=====

Entry 2:
First-principles (PBE) data for crystalline Rb2Ga3Sn2 at its relaxed geometry, as listed in the Alexandria database.

```
7
Lattice="7.2798 -2.1987 0.0000 7.2798 2.1987 0.0000 -1.3305 0.0000 7.3531" Properties=species:S:1:pos:R:3 pbc="T T T"
Rb 2.1839 0.0000 1.7065
Rb 11.0452 0.0000 5.6466
Ga 6.3818 0.0000 0.9245
Ga 6.6145 0.0000 3.6766
Ga 6.8473 0.0000 6.4286
Sn 0.6260 0.0000 5.1150
Sn 12.6031 0.0000 2.2381
```

Properties
DFT formation energy = -95.4 meV per atom
calculated total energy = -2.8128 eV/atom
DOS(E_F) = 0.337 states/eV per atom
space group = C2/m

=====

Entry 3:
First-principles (PBE) data for crystalline RbGa4Sn6 at its relaxed geometry, as listed in the Alexandria database.

```
11
Lattice="8.4526 0.0000 0.0000 -4.2263 7.3202 0.0000 0.0000 0.0000 4.8334" Properties=species:S:1:pos:R:3 pbc="T T T"
Rb 0.0000 0.0000 0.0000
Ga 0.0000 4.8801 0.0000
Ga 2.6997 1.5587 2.4167
Ga 5.7529 1.5587 2.4167
Ga 4.2263 4.2029 2.4167
Sn 0.0000 2.9768 2.4167
Sn -1.6484 5.8318 2.4167
Sn 4.2263 0.4419 0.0000
Sn 2.4958 3.4392 0.0000
Sn 1.6484 5.8318 2.4167
Sn 5.9568 3.4392 0.0000
```

Properties
DFT formation energy = -2.4 meV per atom
calculated total energy = -3.3744 eV/atom
DOS(E_F) = 0.442 states/eV per atom
space group = P-6m2

=====

Entry 4:
First-principles (PBE) data for crystalline Rb2Ga2Sn at its relaxed geometry, as listed in the Alexandria database.

```
10
Lattice="4.4454 -6.4663 0.0000 4.4454 6.4663 0.0000 -4.4145 0.0000 7.5881" Properties=species:S:1:pos:R:3 pbc="T T T"
Rb 0.8359 1.9715 2.0048
Rb 0.8359 -1.9715 2.0048
Rb 3.6404 1.9715 5.5833
Rb 3.6404 -1.9715 5.5833
Ga -2.2171 0.0000 6.7696
Ga 0.4500 0.0000 5.2333
Ga 4.0263 0.0000 2.3549
Ga 6.6934 0.0000 0.8186
Sn 4.4454 1.5073 0.0000
Sn 4.4454 -1.5073 0.0000
```

Properties
DFT formation energy = -50.2 meV per atom
calculated total energy = -2.4486 eV/atom
DOS(E_F) = 0.058 states/eV per atom
energy relative to the lowest polymorph listed for this composition = 0.0000 eV/atom
space group = C2/m

=====

Entry 5:
First-principles (PBE) data for crystalline RbGaSn3 at its relaxed geometry, as listed in the Alexandria database.

```
10
Lattice="6.7361 0.0000 0.0000 0.0003 6.7438 0.0000 0.0176 0.0055 6.8461" Properties=species:S:1:pos:R:3 pbc="T T T"
Rb 0.0000 0.0000 0.0000
Rb 3.3774 3.2415 3.4241
Ga 1.0944 5.6828 3.4216
Ga 4.4710 4.3069 6.8441
Sn 0.0329 3.4319 1.7152
Sn 0.0443 3.4356 5.1318
Sn 2.5000 2.3412 0.0044
Sn 3.4106 6.5563 5.1387
Sn 3.4036 6.5516 1.7093
Sn 5.8768 0.8993 3.4252
```

Properties
DFT formation energy = -57.4 meV per atom
calculated total energy = -3.2580 eV/atom
DOS(E_F) = 0.277 states/eV per atom
energy relative to the lowest polymorph listed for this composition = 0.0779 eV/atom
space group = P1

=====

Entry 6:
First-principles (PBE) data for crystalline RbGa8Sn2 at its relaxed geometry, as listed in the Alexandria database.

```
11
Lattice="5.3702 0.0000 0.0000 0.0000 5.3702 0.0000 0.0000 0.0000 10.7396" Properties=species:S:1:pos:R:3 pbc="T T T"
Rb 0.0000 0.0000 0.0000
Ga 0.0000 2.6851 2.6841
Ga 0.0000 2.6851 5.3698
Ga 0.0000 2.6851 8.0554
Ga 2.6851 0.0000 2.6841
Ga 2.6851 0.0000 5.3698
Ga 2.6851 0.0000 8.0554
Ga 2.6851 2.6851 3.9234
Ga 2.6851 2.6851 6.8162
Sn 0.0000 0.0000 3.8299
Sn 0.0000 0.0000 6.9096
```

Properties
DFT formation energy = 60.5 meV per atom
calculated total energy = -2.9566 eV/atom
DOS(E_F) = 0.528 states/eV per atom
space group = P4/mmm